1.
Below is a geometry-optimized MnFe2SbO6 structure, with properties calculated at the PBE+U level.

For the total magnetization, the calculation gives 1.40 μB/atom. The value obtained for the total energy is -6.7781 eV per atom.

abc: 5.283 5.296 5.694
angles: 116.68 91.07 119.73
Space group P1 (No. 1)
Symmetry-distinct sites (fractional):
Mn  0.000  0.000  0.000 x1
Fe  0.210  0.424  0.627 x1
Fe  0.725  0.451  0.162 x1
Sb  0.516  0.036  0.544 x1
O  0.135  0.558  0.344 x1
O  0.327  0.239  0.820 x1
O  0.404  0.214  0.345 x1
O  0.584  0.902  0.812 x1
O  0.797  0.944  0.346 x1
O  0.915  0.500  0.810 x1

---

2.
Below is a geometry-optimized Mn2FeSbO8 structure, with properties calculated at the PBE+U level.

For the total magnetization, the calculation gives 0.59 μB/atom. The value obtained for the total energy is -6.5969 eV per atom.

abc: 6.381 6.432 6.021
angles: 90.00 90.00 90.00
Space group Cmmm (No. 65)
Symmetry-distinct sites (fractional):
Mn  0.000  0.000  0.242 x4
Fe  0.000  0.500  0.000 x2
Sb  0.000  0.500  0.500 x2
O  0.000  0.187  0.500 x4
O  0.000  0.192  0.000 x4
O  0.198  0.500  0.244 x8

---

3.
Below is a geometry-optimized MnFe2SbO4 structure, with properties calculated at the PBE+U level.

For the total magnetization, the calculation gives 1.62 μB/atom. The value obtained for the total energy is -6.5347 eV per atom.

abc: 6.015 6.648 6.951
angles: 117.19 90.24 112.12
Space group P1 (No. 1)
Symmetry-distinct sites (fractional):
Mn  0.000  0.000  0.000 x1
Mn  0.435  0.478  0.440 x1
Fe  0.498  0.005  0.653 x1
Fe  0.946  0.489  0.127 x1
Fe  0.980  0.507  0.585 x1
Fe  0.995  0.001  0.568 x1
Sb  0.478  0.509  0.972 x1
Sb  0.488  0.005  0.198 x1
O  0.094  0.349  0.274 x1
O  0.206  0.885  0.763 x1
O  0.237  0.867  0.349 x1
O  0.275  0.383  0.676 x1
O  0.735  0.129  0.474 x1
O  0.780  0.625  0.415 x1
O  0.805  0.116  0.855 x1
O  0.830  0.622  0.930 x1

---

4.
Below is a geometry-optimized ScMn2FeO4 structure, with properties calculated at the PBE+U level.

For the total magnetization, the calculation gives 1.65 μB/atom. The value obtained for the total energy is -7.7055 eV per atom.

abc: 5.495 3.151 5.513
angles: 90.00 109.71 90.00
Space group P2/m (No. 10)
Symmetry-distinct sites (fractional):
Sc  0.000  0.000  0.000 x1
Mn  0.000  0.500  0.500 x1
Mn  0.500  0.000  0.500 x1
Fe  0.500  0.500  0.000 x1
O  0.241  0.500  0.245 x2
O  0.248  0.000  0.760 x2

---

5.
Below is a geometry-optimized Mn13FeSi2O22 structure, with properties calculated at the PBE+U level.

For the total magnetization, the calculation gives 0.18 μB/atom. The value obtained for the total energy is -7.4130 eV per atom.

abc: 6.8132 6.8132 10.8662
angles: 90.00 90.00 120.00
Space group P-3m1 (No. 164)
Symmetry-distinct sites (fractional):
Mn  0.0000  0.0000  0.0000 x1
Mn  0.0000  0.5000  0.0000 x3
Mn  0.0000  0.5000  0.5000 x3
Mn  0.1676  0.3351  0.7701 x6
Fe  0.0000  0.0000  0.5000 x1
Si  0.3333  0.6667  0.2511 x2
O  0.0000  0.0000  0.1793 x2
O  0.0693  0.5346  0.1975 x6
O  0.1562  0.3125  0.5955 x6
O  0.1933  0.3866  0.9525 x6
O  0.3333  0.6667  0.4008 x2

---

6.
Below is a geometry-optimized MnFeSi2O6 structure, with properties calculated at the PBE+U level.

For the total magnetization, the calculation gives 0.90 μB/atom. The value obtained for the total energy is -7.6811 eV per atom.

abc: 10.262 9.272 5.469
angles: 90.00 111.85 90.00
Space group C2/c (No. 15)
Symmetry-distinct sites (fractional):
Mn  0.000  0.101  0.250 x4
Fe  0.000  0.262  0.750 x4
Si  0.206  0.414  0.207 x8
O  0.121  0.262  0.140 x8
O  0.122  0.092  0.667 x8
O  0.153  0.490  0.909 x8

---

7.
Below is a geometry-optimized Mn2FeSnO6 structure, with properties calculated at the PBE+U level.

For the total magnetization, the calculation gives 1.19 μB/atom. The value obtained for the total energy is -6.9606 eV per atom.

abc: 5.199 5.251 5.588
angles: 92.03 116.99 117.43
Space group P1 (No. 1)
Symmetry-distinct sites (fractional):
Mn  0.000  0.000  0.000 x1
Mn  0.009  0.504  0.508 x1
Fe  0.583  0.802  0.379 x1
Sn  0.597  0.307  0.896 x1
O  0.085  0.378  0.208 x1
O  0.119  0.239  0.706 x1
O  0.466  0.106  0.189 x1
O  0.526  0.911  0.721 x1
O  0.827  0.609  0.722 x1
O  0.827  0.702  0.227 x1

---

8.
Below is a geometry-optimized Sr4MnFe3O12 structure, with properties calculated at the PBE+U level.

For the total magnetization, the calculation gives 0.84 μB/atom. The value obtained for the total energy is -6.4843 eV per atom.

abc: 7.830 7.830 7.830
angles: 90.00 90.00 90.00
Space group Im-3m (No. 229)
Symmetry-distinct sites (fractional):
Sr  0.250  0.250  0.250 x8
Mn  0.000  0.000  0.000 x2
Fe  0.000  0.000  0.500 x6
O  0.000  0.000  0.247 x12
O  0.000  0.250  0.500 x12

---

9.
Below is a geometry-optimized SrMnFeO4 structure, with properties calculated at the PBE+U level.

For the total magnetization, the calculation gives 0.43 μB/atom. The value obtained for the total energy is -6.3121 eV per atom.

abc: 5.612 5.615 6.496
angles: 90.00 105.74 90.00
Space group P2_1/m (No. 11)
Symmetry-distinct sites (fractional):
Sr  0.246  0.250  0.451 x2
Mn  0.227  0.750  0.150 x2
Fe  0.325  0.250  0.964 x2
O  0.025  0.250  0.082 x2
O  0.031  0.750  0.328 x2
O  0.473  0.521  0.211 x4

---

10.
Below is a geometry-optimized Sr6Mn3FeO14 structure, with properties calculated at the PBE+U level.

For the total magnetization, the calculation gives 0.58 μB/atom. The value obtained for the total energy is -6.6488 eV per atom.

abc: 5.511 5.508 20.293
angles: 90.00 90.00 90.00
Space group Amm2 (No. 38)
Symmetry-distinct sites (fractional):
Sr  0.000  0.000  0.000 x2
Sr  0.000  0.000  0.183 x2
Sr  0.000  0.000  0.366 x2
Sr  0.500  0.000  0.500 x2
Sr  0.500  0.000  0.683 x2
Sr  0.500  0.000  0.866 x2
Mn  0.000  0.000  0.585 x2
Mn  0.000  0.000  0.781 x2
Mn  0.500  0.000  0.085 x2
Fe  0.500  0.000  0.280 x2
O  0.000  0.000  0.491 x2
O  0.000  0.000  0.682 x2
O  0.000  0.000  0.876 x2
O  0.247  0.247  0.779 x8
O  0.250  0.250  0.087 x8
O  0.500  0.000  0.181 x2
O  0.500  0.000  0.378 x2
O  0.500  0.000  0.990 x2

---

11.
Below is a geometry-optimized Sr2MnFeO6 structure, with properties calculated at the PBE+U level.

For the total magnetization, the calculation gives 0.79 μB/atom. The value obtained for the total energy is -6.5970 eV per atom.

abc: 3.898 3.898 7.855
angles: 90.00 90.00 90.00
Space group P4/mmm (No. 123)
Symmetry-distinct sites (fractional):
Sr  0.000  0.000  0.248 x2
Mn  0.500  0.500  0.000 x1
Fe  0.500  0.500  0.500 x1
O  0.000  0.500  0.000 x2
O  0.000  0.500  0.500 x2
O  0.500  0.500  0.246 x2

---

12.
Below is a geometry-optimized Sr5MnFe4O10 structure, with properties calculated at the PBE+U level.

For the total magnetization, the calculation gives 0.15 μB/atom. The value obtained for the polymorph energy (0 for the lowest one) is 0 meV/atom.

abc: 3.501 8.039 20.432
angles: 101.34 90.01 90.00
Space group P1 (No. 1)
Symmetry-distinct sites (fractional):
Sr  0.000  0.000  0.000 x1
Sr  0.000  0.099  0.199 x1
Sr  0.000  0.200  0.404 x1
Sr  0.000  0.301  0.605 x1
Sr  0.000  0.495  0.000 x1
Sr  0.000  0.595  0.199 x1
Sr  0.000  0.699  0.403 x1
Sr  0.000  0.899  0.802 x1
Sr  0.001  0.799  0.605 x1
Sr  0.999  0.399  0.802 x1
Mn  0.499  0.500  0.504 x1
Mn  0.501  0.000  0.504 x1
Fe  0.499  0.198  0.901 x1
Fe  0.500  0.099  0.704 x1
Fe  0.500  0.297  0.100 x1
Fe  0.500  0.398  0.301 x1
Fe  0.500  0.600  0.704 x1
Fe  0.500  0.698  0.901 x1
Fe  0.500  0.797  0.100 x1
Fe  0.500  0.898  0.301 x1
O  0.495  0.348  0.704 x1
O  0.497  0.149  0.802 x1
O  0.497  0.551  0.607 x1
O  0.499  0.448  0.901 x1
O  0.500  0.051  0.100 x1
O  0.500  0.147  0.302 x1
O  0.500  0.240  0.504 x1
O  0.500  0.248  0.000 x1
O  0.500  0.347  0.199 x1
O  0.500  0.448  0.402 x1
O  0.500  0.544  0.100 x1
O  0.500  0.650  0.302 x1
O  0.500  0.747  0.999 x1
O  0.500  0.847  0.199 x1
O  0.500  0.949  0.902 x1
O  0.500  0.950  0.406 x1
O  0.501  0.759  0.504 x1
O  0.502  0.051  0.604 x1
O  0.503  0.650  0.803 x1
O  0.505  0.850  0.703 x1

---

13.
Below is a geometry-optimized Sr5MnFe4O10 structure, with properties calculated at the PBE+U level.

For the total magnetization, the calculation gives 0.30 μB/atom. The value obtained for the polymorph energy (0 for the lowest one) is 127 meV/atom.

abc: 5.303 5.304 20.530
angles: 96.62 96.59 96.26
Space group P1 (No. 1)
Symmetry-distinct sites (fractional):
Sr  0.000  0.000  0.000 x1
Sr  0.095  0.095  0.193 x1
Sr  0.206  0.206  0.416 x1
Sr  0.304  0.304  0.609 x1
Sr  0.404  0.402  0.804 x1
Sr  0.500  0.500  0.000 x1
Sr  0.595  0.595  0.193 x1
Sr  0.706  0.707  0.416 x1
Sr  0.804  0.804  0.609 x1
Sr  0.903  0.902  0.805 x1
Mn  0.180  0.680  0.305 x1
Mn  0.680  0.181  0.304 x1
Fe  0.047  0.547  0.099 x1
Fe  0.252  0.752  0.510 x1
Fe  0.353  0.853  0.706 x1
Fe  0.452  0.952  0.903 x1
Fe  0.548  0.047  0.099 x1
Fe  0.752  0.252  0.510 x1
Fe  0.854  0.354  0.707 x1
Fe  0.951  0.452  0.903 x1
O  0.000  0.500  0.001 x1
O  0.007  0.008  0.511 x1
O  0.027  0.027  0.304 x1
O  0.083  0.582  0.198 x1
O  0.106  0.105  0.707 x1
O  0.189  0.690  0.411 x1
O  0.202  0.202  0.903 x1
O  0.302  0.803  0.608 x1
O  0.304  0.304  0.098 x1
O  0.405  0.902  0.804 x1
O  0.501  0.000  0.001 x1
O  0.509  0.508  0.511 x1
O  0.527  0.527  0.305 x1
O  0.582  0.083  0.198 x1
O  0.603  0.602  0.706 x1
O  0.689  0.190  0.411 x1
O  0.703  0.702  0.902 x1
O  0.804  0.303  0.608 x1
O  0.805  0.804  0.099 x1
O  0.903  0.401  0.805 x1

---

14.
Below is a geometry-optimized SrMnFeO6 structure, with properties calculated at the PBE+U level.

For the total magnetization, the calculation gives 0.56 μB/atom. The value obtained for the total energy is -6.3199 eV per atom.

abc: 5.0100 5.0100 5.4596
angles: 90.00 90.00 120.00
Space group P312 (No. 149)
Symmetry-distinct sites (fractional):
Sr  0.0000  0.0000  0.0000 x1
Mn  0.3333  0.6667  0.5000 x1
Fe  0.6667  0.3333  0.5000 x1
O  0.3822  0.0015  0.6962 x6

---

15.
Below is a geometry-optimized SrMnFe2O4 structure, with properties calculated at the PBE+U level.

For the total magnetization, the calculation gives 1.62 μB/atom. The value obtained for the total energy is -6.6390 eV per atom.

abc: 3.258 11.345 11.290
angles: 90.00 90.00 90.00
Space group Cmcm (No. 63)
Symmetry-distinct sites (fractional):
Sr  0.000  0.129  0.250 x4
Mn  0.000  0.135  0.750 x4
Fe  0.000  0.371  0.034 x8
O  0.000  0.000  0.000 x4
O  0.000  0.252  0.611 x8
O  0.000  0.468  0.250 x4

---

16.
Below is a geometry-optimized Sr3MnFe2O9 structure, with properties calculated at the PBE+U level.

For the total magnetization, the calculation gives 0.82 μB/atom. The value obtained for the total energy is -6.5286 eV per atom.

abc: 5.5263 5.5263 6.7901
angles: 90.00 90.00 120.00
Space group P-3m1 (No. 164)
Symmetry-distinct sites (fractional):
Sr  0.0000  0.0000  0.0000 x1
Sr  0.3333  0.6667  0.6658 x2
Mn  0.0000  0.0000  0.5000 x1
Fe  0.3333  0.6667  0.1683 x2
O  0.0000  0.5000  0.0000 x3
O  0.1650  0.3301  0.3350 x6